No. 1
VASP calculation (GGA-PBE) on a geometry-optimized SnPCl2 structure.

Cell lengths 9.725, 9.725, 9.725 Å; angles 19.71, 19.71, 19.71 degrees
Element x y z (fractional)
1 Sn 0.000 0.000 0.000
2 P 0.500 0.500 0.500
3 Cl 0.419 0.419 0.419
4 Cl 0.581 0.581 0.581

symmetry	No. 166
DOS at the Fermi energy	1.208	states/eV/f.u.
raw formation energy	-0.04	eV/atom
final energy	-3.3151	eV/atom

No. 2
VASP calculation (GGA-PBE) on a geometry-optimized In2SiPd2 structure.

Cell lengths 6.672, 6.672, 4.182 Å; angles 90.00, 90.00, 90.00 degrees
Element x y z (fractional)
1 In 0.157 0.343 0.000
2 In 0.343 0.843 0.000
3 In 0.657 0.157 0.000
4 In 0.843 0.657 0.000
5 Si 0.000 0.000 0.500
6 Si 0.500 0.500 0.500
7 Pd 0.157 0.657 0.500
8 Pd 0.343 0.157 0.500
9 Pd 0.657 0.843 0.500
10 Pd 0.843 0.343 0.500

symmetry	No. 127
DOS at the Fermi energy	2.781	states/eV/f.u.
raw formation energy	-0.22	eV/atom
final energy	-4.4809	eV/atom

No. 3
VASP calculation (GGA-PBE) on a geometry-optimized Tl2As structure.

Cell lengths 6.523, 6.523, 11.607 Å; angles 90.00, 90.00, 120.00 degrees
Element x y z (fractional)
1 Tl 0.000 0.000 0.000
2 Tl 0.000 0.000 0.500
3 Tl 0.165 0.330 0.250
4 Tl 0.165 0.835 0.250
5 Tl 0.330 0.165 0.750
6 Tl 0.670 0.835 0.250
7 Tl 0.835 0.165 0.750
8 Tl 0.835 0.670 0.750
9 As 0.333 0.667 0.065
10 As 0.333 0.667 0.435
11 As 0.667 0.333 0.565
12 As 0.667 0.333 0.935

energy of formation	0.361	eV per atom
symmetry	No. 194
DOS at the Fermi energy	1.930	states/eV/f.u.
final energy	-2.7662	eV/atom